[1]
This record from Alexandria via LeMat-Bulk describes an optimized crystal structure of Pr6NdHo6. The functional is PBE-GGA.

Electronic total energy in eV per atom: -4.44
Size of the total moment in μB/f.u.: 0.014

Unit cell a=6.7567 b=6.7567 c=11.5193 alpha=90.00 beta=90.00 gamma=120.00
Closest atoms and distances in Å follow each position.
Atoms (fractional coordinates):
Pr: 0.0000 0.0000 0.6530  1 Pr 3.53, 6 Ho 3.57
Pr: 0.0000 0.0000 0.3470  1 Pr 3.53, 6 Ho 3.57
Pr: 0.3333 0.6667 0.0000  6 Ho 3.46
Pr: 0.6667 0.3333 0.0000  6 Ho 3.46
Pr: 0.3333 0.6667 0.5000  6 Ho 3.50, 3 Pr 3.90
Pr: 0.6667 0.3333 0.5000  6 Ho 3.50, 3 Pr 3.90
Nd: 0.0000 0.0000 0.0000  8 Pr 3.90-4.00
Ho: 0.0000 0.5000 0.7521  4 Ho 3.38, 6 Pr 3.46-3.57
Ho: 0.5000 0.0000 0.7521  4 Ho 3.38, 6 Pr 3.46-3.57
Ho: 0.5000 0.5000 0.7521  4 Ho 3.38, 6 Pr 3.46-3.57
Ho: 0.5000 0.0000 0.2479  4 Ho 3.38, 6 Pr 3.46-3.57
Ho: 0.0000 0.5000 0.2479  4 Ho 3.38, 6 Pr 3.46-3.57
Ho: 0.5000 0.5000 0.2479  4 Ho 3.38, 6 Pr 3.46-3.57

[2]
This record from Alexandria via LeMat-Bulk describes an optimized crystal structure of PrNd6Ho2. The functional is PBE-GGA.

Energy above the most stable polymorph in this dataset in eV per atom: 0.085
Size of the total moment in μB/f.u.: 0.000

Unit cell a=3.5596 b=8.9464 c=10.3099 alpha=77.92 beta=80.06 gamma=78.52
Closest atoms and distances in Å follow each position.
Atoms (fractional coordinates):
Pr: 0.0000 0.0000 0.0000  4 Nd 3.41-3.57, 2 Pr 3.56, 4 Ho 3.78
Nd: 0.7718 0.3443 0.1121  8 Nd 3.35-3.73, 1 Pr 3.41, 2 Ho 3.73
Nd: 0.2282 0.6557 0.8879  8 Nd 3.35-3.73, 1 Pr 3.41, 2 Ho 3.73
Nd: 0.3847 0.6748 0.5557  8 Nd 3.35-3.66, 3 Ho 3.45-3.62
Nd: 0.0481 0.6553 0.2486  9 Nd 3.56-3.73, 1 Pr 3.57, 2 Ho 3.83
Nd: 0.9519 0.3447 0.7514  9 Nd 3.56-3.73, 1 Pr 3.57, 2 Ho 3.83
Nd: 0.6153 0.3252 0.4443  8 Nd 3.35-3.66, 3 Ho 3.45-3.62
Ho: 0.3291 0.0163 0.3256  7 Nd 3.45-3.83, 2 Ho 3.56, 2 Pr 3.78
Ho: 0.6709 0.9837 0.6744  7 Nd 3.45-3.83, 2 Ho 3.56, 2 Pr 3.78